a | Material: SrTa2Ru
Method: DFT, GGA-PBE
State: optimized geometry

The calculated volume comes out at 20.63 A^3/atom. As for the crystal system: trigonal. As for the total magnetization: 0.0001 μB/atom.

The space group is R-3m (No. 166, hexagonal axes) and the conventional cell measures 3.0840, 3.0840 and 30.0484 Å, with angles of 90.00, 90.00 and 120.00 degrees. The distinct sites, in fractional coordinates, are Sr at (0.0000, 0.0000, 0.0000), Ta at (0.0000, 0.0000, 0.2342) and Ru at (0.0000, 0.0000, 0.5000).

=====

b | Material: SrTa2Ru
Method: DFT, GGA-PBE
State: optimized geometry

The calculated volume comes out at 23.02 A^3/atom. As for the crystal system: monoclinic. As for the total magnetization: 0.0000 μB/atom.

The space group is Pm (No. 6) and the conventional cell measures 3.1325, 4.1245 and 7.1839 Å, with angles of 90.00, 97.28 and 90.00 degrees. The distinct sites, in fractional coordinates, are Sr at (0.0000, 0.0000, 0.0000), Ta at (0.1100, 0.0000, 0.5348), Ta at (0.5832, 0.5000, 0.3502) and Ru at (0.5160, 0.5000, 0.6821).

=====

Which of them is the most stable, and which is the least stable? b and a, in that order.

=====

a | Material: SrTa2Ru
Method: DFT, GGA-PBE
State: optimized geometry

The calculated volume comes out at 23.70 A^3/atom. As for the crystal system: monoclinic. As for the total magnetization: 0.0004 μB/atom.

The space group is Cm (No. 8) and the conventional cell measures 10.0858, 3.2213 and 6.0188 Å, with angles of 90.00, 104.18 and 90.00 degrees. The distinct sites, in fractional coordinates, are Sr at (0.0000, 0.0000, 0.0000), Ta at (0.2042, 0.0000, 0.6312), Ta at (0.4672, 0.0000, 0.4787) and Ru at (0.2621, 0.5000, 0.3459).

=====

b | Material: SrTa2Ru
Method: DFT, GGA-PBE
State: optimized geometry

The calculated volume comes out at 19.08 A^3/atom. As for the crystal system: tetragonal. As for the total magnetization: 0.0000 μB/atom.

The space group is P4/mmm (No. 123) and the conventional cell measures 4.9175, 4.9175 and 3.1561 Å, with angles of 90.00, 90.00 and 90.00 degrees. The distinct sites, in fractional coordinates, are Sr at (0.0000, 0.0000, 0.0000), Ta at (0.0000, 0.5000, 0.5000) and Ru at (0.5000, 0.5000, 0.0000).

=====

c | Material: SrTa2Ru
Method: DFT, GGA-PBE
State: optimized geometry

The calculated volume comes out at 22.03 A^3/atom. As for the crystal system: monoclinic. As for the total magnetization: 0.0000 μB/atom.

The space group is C2/m (No. 12) and the conventional cell measures 11.0218, 3.1155 and 5.4168 Å, with angles of 90.00, 108.65 and 90.00 degrees. The distinct sites, in fractional coordinates, are Sr at (0.0000, 0.0000, 0.0000), Ta at (0.2006, 0.0000, 0.6614) and Ru at (0.0000, 0.5000, 0.5000).

=====

d | Material: SrTa2Ru
Method: DFT, GGA-PBE
State: optimized geometry

The calculated volume comes out at 20.21 A^3/atom. As for the crystal system: tetragonal. As for the total magnetization: 0.0000 μB/atom.

The space group is I4/mmm (No. 139) and the conventional cell measures 3.9822, 3.9822 and 10.1941 Å, with angles of 90.00, 90.00 and 90.00 degrees. The distinct sites, in fractional coordinates, are Sr at (0.0000, 0.0000, 0.0000), Ta at (0.0000, 0.5000, 0.2500) and Ru at (0.0000, 0.0000, 0.5000).

=====

Which of them is the most stable, and which is the least stable? c and b, in that order.

=====

a | Material: SrTa2Ru
Method: DFT, GGA-PBE
State: optimized geometry

The calculated volume comes out at 29.12 A^3/atom. As for the crystal system: tetragonal. As for the total magnetization: 0.0000 μB/atom.

The space group is I4_1/amd (No. 141, origin choice 2) and the conventional cell measures 5.1672, 5.1672 and 17.4515 Å, with angles of 90.00, 90.00 and 90.00 degrees. The distinct sites, in fractional coordinates, are Sr at (0.0000, 0.2500, 0.3750), Ta at (0.0000, 0.0000, 0.0000) and Ru at (0.0000, 0.2500, 0.8750).

=====

b | Material: SrTa2Ru
Method: DFT, GGA-PBE
State: optimized geometry

The calculated volume comes out at 18.94 A^3/atom. As for the crystal system: cubic. As for the total magnetization: 0.0000 μB/atom.

The space group is Fm-3m (No. 225) and the conventional cell measures 6.7165, 6.7165 and 6.7165 Å, with angles of 90.00, 90.00 and 90.00 degrees. The distinct sites, in fractional coordinates, are Sr at (0.0000, 0.0000, 0.0000), Ta at (0.2500, 0.2500, 0.2500) and Ru at (0.0000, 0.0000, 0.5000).

=====

c | Material: SrTa2Ru
Method: DFT, GGA-PBE
State: optimized geometry

The calculated volume comes out at 19.70 A^3/atom. As for the crystal system: cubic. As for the total magnetization: 0.0000 μB/atom.

The space group is F-43m (No. 216) and the conventional cell measures 6.8052, 6.8052 and 6.8052 Å, with angles of 90.00, 90.00 and 90.00 degrees. The distinct sites, in fractional coordinates, are Sr at (0.0000, 0.0000, 0.0000), Ta at (0.0000, 0.0000, 0.5000), Ta at (0.2500, 0.2500, 0.2500) and Ru at (0.2500, 0.2500, 0.7500).

=====

Which of them is the most stable, and which is the least stable? c and a, in that order.

=====

a | Material: SrTa2Ru
Method: DFT, GGA-PBE
State: optimized geometry

The calculated volume comes out at 20.41 A^3/atom. As for the crystal system: tetragonal. As for the total magnetization: 0.0000 μB/atom.

The space group is P4/mmm (No. 123) and the conventional cell measures 4.0353, 4.0353 and 5.0133 Å, with angles of 90.00, 90.00 and 90.00 degrees. The distinct sites, in fractional coordinates, are Sr at (0.0000, 0.0000, 0.0000), Ta at (0.0000, 0.5000, 0.5000) and Ru at (0.5000, 0.5000, 0.0000).

=====

b | Material: SrTa2Ru
Method: DFT, GGA-PBE
State: optimized geometry

The calculated volume comes out at 19.66 A^3/atom. As for the crystal system: orthorhombic. As for the total magnetization: 0.0000 μB/atom.

The space group is Pmmm (No. 47) and the conventional cell measures 3.2418, 4.8151 and 5.0384 Å, with angles of 90.00, 90.00 and 90.00 degrees. The distinct sites, in fractional coordinates, are Sr at (0.0000, 0.0000, 0.0000), Ta at (0.0000, 0.5000, 0.5000), Ta at (0.5000, 0.0000, 0.5000) and Ru at (0.5000, 0.5000, 0.0000).

=====

c | Material: SrTa2Ru
Method: DFT, GGA-PBE
State: optimized geometry

The calculated volume comes out at 19.59 A^3/atom. As for the crystal system: monoclinic. As for the total magnetization: 0.0004 μB/atom.

The space group is C2/m (No. 12) and the conventional cell measures 5.6328, 10.0857 and 2.9071 Å, with angles of 90.00, 108.39 and 90.00 degrees. The distinct sites, in fractional coordinates, are Sr at (0.0000, 0.0000, 0.0000), Ta at (0.2500, 0.2500, 0.5000) and Ru at (0.0000, 0.5000, 0.0000).

=====

d | Material: SrTa2Ru
Method: DFT, GGA-PBE
State: optimized geometry

The calculated volume comes out at 21.00 A^3/atom. As for the crystal system: trigonal. As for the total magnetization: 0.0000 μB/atom.

The space group is R3m (No. 160, hexagonal axes) and the conventional cell measures 3.1837, 3.1837 and 28.7074 Å, with angles of 90.00, 90.00 and 120.00 degrees. The distinct sites, in fractional coordinates, are Sr at (0.0000, 0.0000, 0.0000), Ta at (0.0000, 0.0000, 0.5133), Ta at (0.0000, 0.0000, 0.7691) and Ru at (0.0000, 0.0000, 0.2428).

=====

Which of them is the most stable, and which is the least stable? d and a, in that order.